DFT (PBE+U) results for an optimized crystal structure of CrAsBr2F.

## Properties
The polymorph energy (0 for the lowest one) is 0.0000 eV per atom. For the calculated volume, the calculation gives 122.61 Å³/cell. The calculation puts the total energy at -3.5631 eV/atom. The space-group type is P4/mmm (123). As for the calculated density: 4.140 g/cm³. For the density of states at the Fermi level, the calculation gives 2.3 states/eV/f.u.

a = 5.6253 Å, b = 5.6253 Å, c = 3.8748 Å
α = 90.00°, β = 90.00°, γ = 90.00°
Last column: nearest neighbours and their distance in Å.
Element x y z (fractional)
1 Br 0.5000 0.0000 0.0000  2 F 2.81
2 Br 0.0000 0.5000 0.0000  2 F 2.81
3 Cr 0.5000 0.5000 0.5000  8 Br 3.42
4 F 0.0000 0.0000 0.0000  2 As 1.94
5 As 0.0000 0.0000 0.5000  2 F 1.94